# PmNd4SmDy2

A geometry-optimized PmNd4SmDy2 structure (PBE, Alexandria).

theoretical density	7.32	g cm⁻³
symmetry	P2/m (10)

a = 3.646 Å, b = 6.294 Å, c = 12.029 Å
α = 79.80°, β = 90.00°, γ = 90.00°
Atoms (fractional coordinates):
1 Nd 0.500 0.249 0.751
2 Nd 0.000 0.751 0.749
3 Nd 0.000 0.249 0.251
4 Nd 0.500 0.751 0.249
5 Sm 0.500 0.500 0.000
6 Dy 0.500 0.000 0.500
7 Dy 0.000 0.000 0.000
8 Pm 0.000 0.500 0.500

=====

# Pm2NdSm5Dy

A geometry-optimized Pm2NdSm5Dy structure (PBE, Alexandria).

theoretical density	7.28	g cm⁻³
symmetry	I4/mcm (140)

a = 8.830 Å, b = 8.830 Å, c = 10.059 Å
α = 116.03°, β = 116.03°, γ = 90.00°
Atoms (fractional coordinates):
1 Nd 0.750 0.750 0.500
2 Nd 0.250 0.250 0.500
3 Dy 0.250 0.750 0.500
4 Dy 0.750 0.250 0.500
5 Pm 0.617 0.117 0.000
6 Pm 0.883 0.617 0.000
7 Pm 0.383 0.883 0.000
8 Pm 0.117 0.383 0.000
9 Sm 0.847 0.929 0.276
10 Sm 0.000 0.000 0.000
11 Sm 0.571 0.653 0.724
12 Sm 0.347 0.847 0.276
13 Sm 0.500 0.500 0.000
14 Sm 0.071 0.571 0.724
15 Sm 0.653 0.153 0.724
16 Sm 0.429 0.347 0.276
17 Sm 0.929 0.429 0.276
18 Sm 0.153 0.071 0.724

=====

# Pm4Nd2SmDy2

A geometry-optimized Pm4Nd2SmDy2 structure (PBE, Alexandria).

theoretical density	7.33	g cm⁻³
symmetry	C2/m (12)

a = 5.141 Å, b = 8.125 Å, c = 8.102 Å
α = 107.58°, β = 90.00°, γ = 108.44°
Atoms (fractional coordinates):
1 Nd 0.112 0.223 0.668
2 Nd 0.888 0.777 0.332
3 Dy 0.333 0.666 0.000
4 Dy 0.667 0.334 0.000
5 Sm 0.000 0.000 0.000
6 Pm 0.778 0.556 0.669
7 Pm 0.445 0.889 0.669
8 Pm 0.555 0.111 0.331
9 Pm 0.222 0.444 0.331

=====

# Pm6Nd3SmDy2

A geometry-optimized Pm6Nd3SmDy2 structure (PBE, Alexandria).

theoretical density	7.22	g cm⁻³
symmetry	C2/m (12)

a = 6.306 Å, b = 6.306 Å, c = 12.061 Å
α = 95.01°, β = 95.01°, γ = 119.99°
Atoms (fractional coordinates):
1 Pm 0.251 0.251 0.753
2 Pm 0.417 0.083 0.247
3 Pm 0.083 0.417 0.247
4 Pm 0.917 0.583 0.753
5 Pm 0.583 0.917 0.753
6 Pm 0.749 0.749 0.247
7 Nd 0.833 0.167 0.500
8 Nd 0.500 0.500 0.500
9 Nd 0.167 0.833 0.500
10 Dy 0.333 0.667 0.000
11 Dy 0.667 0.333 0.000
12 Sm 0.000 0.000 0.000

=====

# Pm2NdSm4Dy2

A geometry-optimized Pm2NdSm4Dy2 structure (PBE, Alexandria).

theoretical density	7.42	g cm⁻³
symmetry	P-1 (2)

a = 6.897 Å, b = 10.035 Å, c = 6.725 Å
α = 121.33°, β = 126.90°, γ = 59.39°
Atoms (fractional coordinates):
1 Pm 0.271 0.656 0.600
2 Pm 0.729 0.344 0.400
3 Sm 0.374 0.245 0.489
4 Sm 0.626 0.755 0.511
5 Sm 0.265 0.116 0.798
6 Sm 0.735 0.884 0.202
7 Dy 0.819 0.444 0.033
8 Dy 0.181 0.556 0.967
9 Nd 0.000 0.000 0.000

=====

# Pm6Nd2Sm3Dy

A geometry-optimized Pm6Nd2Sm3Dy structure (PBE, Alexandria).

theoretical density	7.18	g cm⁻³
symmetry	C2/m (12)

a = 6.307 Å, b = 6.307 Å, c = 12.080 Å
α = 95.01°, β = 95.01°, γ = 119.98°
Atoms (fractional coordinates):
1 Sm 0.166 0.834 0.500
2 Sm 0.500 0.500 0.500
3 Sm 0.834 0.166 0.500
4 Pm 0.584 0.917 0.750
5 Pm 0.249 0.249 0.750
6 Pm 0.917 0.584 0.750
7 Pm 0.751 0.751 0.250
8 Pm 0.416 0.083 0.250
9 Pm 0.083 0.416 0.250
10 Nd 0.667 0.333 0.000
11 Nd 0.333 0.667 0.000
12 Dy 0.000 0.000 0.000

=====

Number 1: energy of formation 0.01 eV per atom, M_tot 0.00 μB per formula unit. Number 2: energy of formation 0.27 eV per atom, M_tot 0.00 μB per formula unit. Number 3: energy of formation 0.02 eV per atom, M_tot 0.00 μB per formula unit. Number 4: energy of formation 0.01 eV per atom, M_tot 0.00 μB per formula unit. Number 5: energy of formation 0.07 eV per atom, M_tot 0.00 μB per formula unit. Number 6: energy of formation 0.01 eV per atom, M_tot 0.00 μB per formula unit.